# AsPbN2F, optimized geometry, DFT GGA-PBE
# VASP energy = -5.147 eV per atom
# uncorrected formation energy = 0.229 eV/atom
data_AsPbN2F
_chemical_formula_sum 'As1 Pb1 N2 F1'
_space_group_name_H-M_alt 'P 4/m m m'
_space_group_IT_number 123
_space_group_name_Hall '-P 4 2'
_cell_length_a 3.920
_cell_length_b 3.920
_cell_length_c 4.348
_cell_angle_alpha 90.00
_cell_angle_beta 90.00
_cell_angle_gamma 90.00
loop_
_atom_site_label
_atom_site_fract_x
_atom_site_fract_y
_atom_site_fract_z
As1 0.000 0.000 0.000
Pb1 0.500 0.500 0.500
N1 0.000 0.500 0.000
F1 0.000 0.000 0.500

# AsPbNF2, optimized geometry, DFT GGA-PBE
# VASP energy = -4.686 eV per atom
# uncorrected formation energy = -0.601 eV/atom
data_AsPbNF2
_chemical_formula_sum 'As1 Pb1 N1 F2'
_space_group_name_H-M_alt 'P 4/m m m'
_space_group_IT_number 123
_space_group_name_Hall '-P 4 2'
_cell_length_a 4.397
_cell_length_b 4.397
_cell_length_c 4.184
_cell_angle_alpha 90.00
_cell_angle_beta 90.00
_cell_angle_gamma 90.00
loop_
_atom_site_label
_atom_site_fract_x
_atom_site_fract_y
_atom_site_fract_z
As1 0.000 0.000 0.000
Pb1 0.500 0.500 0.500
N1 0.000 0.000 0.500
F1 0.000 0.500 0.000

# AsPdN2F, optimized geometry, DFT GGA-PBE
# VASP energy = -4.854 eV per atom
# uncorrected formation energy = 0.819 eV/atom
data_AsPdN2F
_chemical_formula_sum 'As1 Pd1 N2 F1'
_space_group_name_H-M_alt 'P 4/m m m'
_space_group_IT_number 123
_space_group_name_Hall '-P 4 2'
_cell_length_a 3.854
_cell_length_b 3.854
_cell_length_c 3.868
_cell_angle_alpha 90.00
_cell_angle_beta 90.00
_cell_angle_gamma 90.00
loop_
_atom_site_label
_atom_site_fract_x
_atom_site_fract_y
_atom_site_fract_z
As1 0.000 0.000 0.000
Pd1 0.500 0.500 0.500
N1 0.000 0.500 0.000
F1 0.000 0.000 0.500

no.,polymorph energy (0 for the lowest one) (meV per atom),magnetic moment (μB per formula unit)
1,0,0.0
2,0,0.0
3,0,0.0